First-principles (PBE) data for crystalline La2Zr2O7 at its relaxed geometry, as listed in the Alexandria database.

Cell: 10.7485 10.7485 10.7485 Å, 90.00 90.00 90.00°
Space group Fd-3m (No. 227, origin choice 2)
Inequivalent atoms, fractional coordinates:
La 0.0000 0.0000 0.0000 (multiplicity 16)
Zr 0.0000 0.0000 0.5000 (multiplicity 16)
O 0.1166 0.3750 0.8750 (multiplicity 48)
O 0.1250 0.1250 0.6250 (multiplicity 8)

Results
For the calculated volume, the calculation gives 14.11 A^3/atom. Its magnetic moment is 0.00 Bohr magnetons per cell. The value obtained for the calculated density is 6.12 g cm⁻³. The calculation puts the electronic total energy at -8.69 eV per atom.

First-principles (PBE) data for crystalline La2ZrO at its relaxed geometry, as listed in the Alexandria database.

Cell: 3.5243 3.5243 27.6146 Å, 90.00 90.00 120.00°
Space group R-3m (No. 166, hexagonal axes)
Inequivalent atoms, fractional coordinates:
La 0.0000 0.0000 0.1121 (multiplicity 6)
Zr 0.0000 0.0000 0.0000 (multiplicity 3)
O 0.0000 0.0000 0.5000 (multiplicity 3)

Results
For the calculated volume, the calculation gives 24.75 A^3/atom. Its magnetic moment is 3.17 Bohr magnetons per cell. The value obtained for the calculated density is 6.46 g cm⁻³. The calculation puts the electronic total energy at -6.81 eV per atom.

First-principles (PBE) data for crystalline LaZr3O at its relaxed geometry, as listed in the Alexandria database.

Cell: 5.1215 5.1215 5.1215 Å, 90.00 90.00 90.00°
Space group Pm-3m (No. 221)
Inequivalent atoms, fractional coordinates:
La 0.0000 0.0000 0.0000 (multiplicity 1)
Zr 0.0000 0.0000 0.5000 (multiplicity 3)
O 0.5000 0.5000 0.5000 (multiplicity 1)

Results
For the calculated volume, the calculation gives 26.87 A^3/atom. Its magnetic moment is 0.00 Bohr magnetons per cell. The value obtained for the calculated density is 5.30 g cm⁻³. The calculation puts the electronic total energy at -5.41 eV per atom.

First-principles (PBE) data for crystalline LaZr2O at its relaxed geometry, as listed in the Alexandria database.

Cell: 6.6841 6.6841 9.2549 Å, 90.00 90.00 90.00°
Space group I-42d (No. 122)
Inequivalent atoms, fractional coordinates:
La 0.0000 0.0000 0.0000 (multiplicity 4)
Zr 0.0666 0.2500 0.6250 (multiplicity 8)
O 0.0000 0.0000 0.5000 (multiplicity 4)

Results
For the calculated volume, the calculation gives 25.84 A^3/atom. Its magnetic moment is 0.00 Bohr magnetons per cell. The value obtained for the calculated density is 5.42 g cm⁻³. The calculation puts the electronic total energy at -7.75 eV per atom.

First-principles (PBE) data for crystalline LaZr3O at its relaxed geometry, as listed in the Alexandria database.

Cell: 4.6844 4.6844 4.6844 Å, 90.00 90.00 90.00°
Space group Pm-3m (No. 221)
Inequivalent atoms, fractional coordinates:
La 0.0000 0.0000 0.0000 (multiplicity 1)
Zr 0.0000 0.5000 0.5000 (multiplicity 3)
O 0.5000 0.5000 0.5000 (multiplicity 1)

Results
For the calculated volume, the calculation gives 20.56 A^3/atom. Its magnetic moment is 0.00 Bohr magnetons per cell. The value obtained for the calculated density is 6.92 g cm⁻³. The calculation puts the electronic total energy at -7.94 eV per atom.

First-principles (PBE) data for crystalline La2Zr2O7 at its relaxed geometry, as listed in the Alexandria database.

Cell: 10.8907 10.8907 10.8907 Å, 90.00 90.00 90.00°
Space group Fd-3m (No. 227, origin choice 2)
Inequivalent atoms, fractional coordinates:
La 0.0000 0.0000 0.0000 (multiplicity 16)
Zr 0.0000 0.0000 0.5000 (multiplicity 16)
O 0.0829 0.3750 0.8750 (multiplicity 48)
O 0.1250 0.1250 0.1250 (multiplicity 8)

Results
For the calculated volume, the calculation gives 14.68 A^3/atom. Its magnetic moment is 0.00 Bohr magnetons per cell. The value obtained for the calculated density is 5.89 g cm⁻³. The calculation puts the electronic total energy at -9.07 eV per atom.

First-principles (PBE) data for crystalline La6ZrO12 at its relaxed geometry, as listed in the Alexandria database.

Cell: 10.4691 10.4691 9.9414 Å, 90.00 90.00 120.00°
Space group R-3 (No. 148, hexagonal axes)
Inequivalent atoms, fractional coordinates:
La 0.0533 0.7924 0.1548 (multiplicity 18)
Zr 0.0000 0.0000 0.5000 (multiplicity 3)
O 0.0392 0.8128 0.9031 (multiplicity 18)
O 0.0401 0.8443 0.3935 (multiplicity 18)

Results
For the calculated volume, the calculation gives 16.55 A^3/atom. Its magnetic moment is 6.63 Bohr magnetons per cell. The value obtained for the calculated density is 5.90 g cm⁻³. The calculation puts the electronic total energy at -8.36 eV per atom.

First-principles (PBE) data for crystalline La2Zr2O7 at its relaxed geometry, as listed in the Alexandria database.

Cell: 7.6912 3.7012 11.1464 Å, 90.00 90.00 90.00°
Space group Pmma (No. 51)
Inequivalent atoms, fractional coordinates:
La 0.0000 0.0000 0.0000 (multiplicity 2)
La 0.2500 0.5000 0.2774 (multiplicity 2)
Zr 0.0000 0.0000 0.5000 (multiplicity 2)
Zr 0.2500 0.5000 0.7363 (multiplicity 2)
O 0.0259 0.5000 0.6129 (multiplicity 4)
O 0.0353 0.5000 0.1348 (multiplicity 4)
O 0.2500 0.0000 0.4035 (multiplicity 2)
O 0.2500 0.0000 0.6340 (multiplicity 2)
O 0.2500 0.0000 0.8668 (multiplicity 2)

Results
For the calculated volume, the calculation gives 14.42 A^3/atom. Its magnetic moment is 0.00 Bohr magnetons per cell. The value obtained for the calculated density is 5.99 g cm⁻³. The calculation puts the electronic total energy at -8.80 eV per atom.

First-principles (PBE) data for crystalline La3ZrO at its relaxed geometry, as listed in the Alexandria database.

Cell: 5.6255 5.6255 5.6255 Å, 90.00 90.00 90.00°
Space group Pm-3m (No. 221)
Inequivalent atoms, fractional coordinates:
La 0.0000 0.0000 0.5000 (multiplicity 3)
Zr 0.0000 0.0000 0.0000 (multiplicity 1)
O 0.5000 0.5000 0.5000 (multiplicity 1)

Results
For the calculated volume, the calculation gives 35.60 A^3/atom. Its magnetic moment is 0.00 Bohr magnetons per cell. The value obtained for the calculated density is 4.89 g cm⁻³. The calculation puts the electronic total energy at -5.04 eV per atom.

First-principles (PBE) data for crystalline La4Zr6O19 at its relaxed geometry, as listed in the Alexandria database.

Cell: 9.6609 9.6609 9.6609 Å, 90.00 90.00 90.00°
Space group I23 (No. 197)
Inequivalent atoms, fractional coordinates:
La 0.1480 0.1480 0.8520 (multiplicity 8)
Zr 0.0000 0.3335 0.5000 (multiplicity 12)
O 0.0000 0.0000 0.0000 (multiplicity 2)
O 0.0000 0.0000 0.3562 (multiplicity 12)
O 0.0386 0.3189 0.7153 (multiplicity 24)

Results
For the calculated volume, the calculation gives 15.55 A^3/atom. Its magnetic moment is 4.57 Bohr magnetons per cell. The value obtained for the calculated density is 5.18 g cm⁻³. The calculation puts the electronic total energy at -8.84 eV per atom.